Record 1
{
  "formula": "ErTmGeRu",
  "functional": "PBE-GGA",
  "state": "optimized geometry",
  "formation_energy_kj_per_mol_fu": -249,
  "de_polymorph_mev_per_atom": 0,
  "lattice_angstrom": [[3.8226, 0.0000, 0.0000], [0.0000, 2.0984, 5.3682], [0.0000, -2.0984, 5.3682]],
  "species": ["Er", "Tm", "Ge", "Ru"],
  "fractional_positions": [[0.0000, 0.0000, 0.0000], [0.5000, 0.2828, 0.2828], [0.0000, 0.7079, 0.7079], [0.5000, 0.5511, 0.5511]]
}


Record 2
{
  "formula": "Er2ZnGe2Ru5",
  "functional": "PBE-GGA",
  "state": "optimized geometry",
  "formation_energy_kj_per_mol_fu": -346,
  "lattice_angstrom": [[9.8223, 0.0000, 0.0000], [0.0000, 9.8223, 0.0000], [0.0000, 0.0000, 3.4260]],
  "species": ["Er", "Er", "Er", "Er", "Zn", "Zn", "Ge", "Ge", "Ge", "Ge", "Ru", "Ru", "Ru", "Ru", "Ru", "Ru", "Ru", "Ru", "Ru", "Ru"],
  "fractional_positions": [[0.1705, 0.3295, 0.0000], [0.3295, 0.8295, 0.0000], [0.6705, 0.1705, 0.0000], [0.8295, 0.6705, 0.0000], [0.0000, 0.0000, 0.0000], [0.5000, 0.5000, 0.0000], [0.1298, 0.6298, 0.0000], [0.3702, 0.1298, 0.0000], [0.6298, 0.8702, 0.0000], [0.8702, 0.3702, 0.0000], [0.0000, 0.5000, 0.5000], [0.0633, 0.8002, 0.5000], [0.1998, 0.0633, 0.5000], [0.3002, 0.5633, 0.5000], [0.4367, 0.3002, 0.5000], [0.5000, 0.0000, 0.5000], [0.5633, 0.6998, 0.5000], [0.6998, 0.4367, 0.5000], [0.8002, 0.9367, 0.5000], [0.9367, 0.1998, 0.5000]]
}


Record 3
{
  "formula": "ErGe2S4",
  "functional": "PBE-GGA",
  "state": "optimized geometry",
  "raw_formation_energy_mev_per_atom": -511,
  "lattice_angstrom": [[-3.6656, 3.6656, 3.3041], [3.6656, -3.6656, 3.3041], [3.6656, 3.6656, -3.3041]],
  "species": ["Er", "Ge", "Ge", "S", "S", "S", "S"],
  "fractional_positions": [[0.0000, 0.0000, 0.0000], [0.2500, 0.7500, 0.5000], [0.7500, 0.2500, 0.5000], [0.1810, 0.6857, 0.8667], [0.3143, 0.1810, 0.4953], [0.6857, 0.8190, 0.5047], [0.8190, 0.3143, 0.1333]]
}


Record 4
{
  "formula": "Er3GeS2",
  "functional": "PBE-GGA",
  "state": "optimized geometry",
  "raw_formation_energy_mev_per_atom": -1288,
  "de_polymorph_mev_per_atom": 375,
  "lattice_angstrom": [[5.6345, -3.8504, 0.0000], [5.6345, 3.8504, 0.0000], [0.0000, 0.0000, 6.4564]],
  "species": ["Er", "Er", "Er", "Er", "Er", "Er", "Ge", "Ge", "S", "S", "S", "S"],
  "fractional_positions": [[0.0866, 0.9134, 0.7500], [0.1317, 0.5325, 0.2500], [0.4675, 0.8683, 0.2500], [0.5325, 0.1317, 0.7500], [0.8683, 0.4675, 0.7500], [0.9134, 0.0866, 0.2500], [0.4333, 0.5667, 0.7500], [0.5667, 0.4333, 0.2500], [0.1847, 0.1847, 0.0000], [0.1847, 0.1847, 0.5000], [0.8153, 0.8153, 0.0000], [0.8153, 0.8153, 0.5000]]
}


Record 5
{
  "formula": "Er8Ge5S",
  "functional": "PBE-GGA",
  "state": "optimized geometry",
  "raw_formation_energy_mev_per_atom": -948,
  "lattice_angstrom": [[-4.3218, 4.3218, 4.3845], [4.3218, -4.3218, 4.3845], [4.3218, 4.3218, -4.3845]],
  "species": ["Er", "Er", "Er", "Er", "Er", "Er", "Er", "Er", "Ge", "Ge", "Ge", "Ge", "Ge", "S"],
  "fractional_positions": [[0.0070, 0.1307, 0.7460], [0.2493, 0.4928, 0.6135], [0.3642, 0.7507, 0.2435], [0.3847, 0.2610, 0.2540], [0.5072, 0.1207, 0.7565], [0.7390, 0.9930, 0.1237], [0.8693, 0.6153, 0.8763], [0.8793, 0.6358, 0.3865], [0.1284, 0.0045, 0.3750], [0.2467, 0.8716, 0.8761], [0.5000, 0.5000, 0.0000], [0.6295, 0.7533, 0.6250], [0.9955, 0.3705, 0.1239], [0.7500, 0.2500, 0.5000]]
}


Record 6
{
  "formula": "ErGeS2",
  "functional": "PBE-GGA",
  "state": "optimized geometry",
  "raw_formation_energy_mev_per_atom": -455,
  "lattice_angstrom": [[1.8443, 1.0648, 8.0864], [-1.8443, 1.0648, 8.0864], [0.0000, -2.1296, 8.0864]],
  "species": ["Er", "Ge", "S", "S"],
  "fractional_positions": [[0.0000, 0.0000, 0.0000], [0.5000, 0.5000, 0.5000], [0.1072, 0.1072, 0.1072], [0.8928, 0.8928, 0.8928]]
}


Record 7
{
  "formula": "Er2GeS",
  "functional": "PBE-GGA",
  "state": "optimized geometry",
  "raw_formation_energy_mev_per_atom": -1287,
  "de_polymorph_mev_per_atom": 187,
  "lattice_angstrom": [[1.9765, 1.1411, 6.9272], [-1.9765, 1.1411, 6.9272], [0.0000, -2.2823, 6.9272]],
  "species": ["Er", "Er", "Ge", "S"],
  "fractional_positions": [[0.0000, 0.0000, 0.0000], [0.1743, 0.1743, 0.1743], [0.5867, 0.5867, 0.5867], [0.7568, 0.7568, 0.7568]]
}


Record 8
{
  "formula": "Er7GeS5",
  "functional": "PBE-GGA",
  "state": "optimized geometry",
  "raw_formation_energy_mev_per_atom": -1668,
  "lattice_angstrom": [[1.9508, -6.3128, 0.0000], [1.9508, 6.3128, 0.0000], [0.0000, 0.0000, 22.9377]],
  "species": ["Er", "Er", "Er", "Er", "Er", "Er", "Er", "Er", "Er", "Er", "Er", "Er", "Er", "Er", "Ge", "Ge", "S", "S", "S", "S", "S", "S", "S", "S", "S", "S"],
  "fractional_positions": [[0.0308, 0.9692, 0.7500], [0.1381, 0.8619, 0.0367], [0.1381, 0.8619, 0.4633], [0.3138, 0.6862, 0.6778], [0.3138, 0.6862, 0.8222], [0.4072, 0.5928, 0.1136], [0.4072, 0.5928, 0.3864], [0.5928, 0.4072, 0.6136], [0.5928, 0.4072, 0.8864], [0.6862, 0.3138, 0.1778], [0.6862, 0.3138, 0.3222], [0.8619, 0.1381, 0.5367], [0.8619, 0.1381, 0.9633], [0.9692, 0.0308, 0.2500], [0.3042, 0.6958, 0.2500], [0.6958, 0.3042, 0.7500], [0.0479, 0.9521, 0.1420], [0.0479, 0.9521, 0.3580], [0.2258, 0.7742, 0.5712], [0.2258, 0.7742, 0.9288], [0.5000, 0.5000, 0.0000], [0.5000, 0.5000, 0.5000], [0.7742, 0.2258, 0.0712], [0.7742, 0.2258, 0.4288], [0.9521, 0.0479, 0.6420], [0.9521, 0.0479, 0.8580]]
}


no.,volume (A^3/atom)
1,21.53
2,16.53
3,25.37
4,23.34
5,23.40
6,23.82
7,23.44
8,21.73